PmCoC2O6: optimized geometry, PBE+U.

Geometry as POSCAR:
```
PmCoC2O6
1.0
-1.349 -2.996 3.805
-3.858 -3.175 -0.547
1.648 -5.859 -0.708
O C Pm Co
6 2 1 1
Direct
0.498 0.263 0.257
0.263 0.982 0.257
0.018 0.502 0.743
0.502 0.737 0.743
0.737 0.018 0.743
0.982 0.498 0.257
0.247 0.247 0.259
0.753 0.753 0.741
0.000 0.000 0.000
0.500 0.500 0.500
```

Uncorrected energy: -0.2766 hartree per atom
Calculated volume: 11.81 Å³/atom
Crystal system: trigonal